Density functional theory data (PBE) for Ag6Se2Br3 after structural relaxation.

- Total moment: 0.0000 μB per atom
- ΔE_f (raw): -0.161 eV/atom
- DFT total energy: -2.806 eV/atom
- Theoretical density: 5.815 Mg/m³

Cell and atoms, written as CIF:
```
data_Ag6Se2Br3
_cell_length_a 4.327
_cell_length_b 4.929
_cell_length_c 14.307
_cell_angle_alpha 81.63
_cell_angle_beta 81.32
_cell_angle_gamma 89.93
_symmetry_space_group_name_H-M 'P -1'
_symmetry_Int_Tables_number 2
loop_
_symmetry_equiv_pos_as_xyz
'x,y,z'
'-x,-y,-z'
loop_
_atom_site_label
_atom_site_type_symbol
_atom_site_fract_x
_atom_site_fract_y
_atom_site_fract_z
Ag1 Ag 0.063 0.099 0.372
Ag2 Ag 0.188 0.863 0.126
Ag3 Ag 0.359 0.496 0.780
Se1 Se 0.099 0.626 0.305
Br1 Br 0.287 0.793 0.925
Br2 Br 0.500 0.000 0.500
```